[1]
DFT (PBE) results for a relaxed TbTmZnPd crystal.

a b c (Å): 4.981 4.981 4.981
angles (deg): 60.00 60.00 60.00
Fractional positions:
Zn 0.500 0.500 0.500
Tm 0.250 0.250 0.250
Tb 0.750 0.750 0.750
Pd 0.000 0.000 0.000

Summary:
Space-group type: No. 216

=====

[2]
DFT (PBE) results for a relaxed TbTmZnPd crystal.

a b c (Å): 3.538 3.538 6.962
angles (deg): 90.00 90.00 90.00
Fractional positions:
Tb 0.000 0.000 0.860
Tm 0.000 0.000 0.352
Zn 0.500 0.500 0.599
Pd 0.500 0.500 0.117

Summary:
Space-group type: No. 99

=====

[3]
DFT (PBE) results for a relaxed TbUPd14 crystal.

a b c (Å): 5.808 5.808 7.807
angles (deg): 90.00 90.00 90.00
Last column: magnetic moment on the atom in μB.
Fractional positions:
Tb 0.375 0.375 0.500  0.00
U 0.875 0.875 0.500  -0.06
Pd 0.875 0.875 0.000  0.00
Pd 0.375 0.375 0.000  0.00
Pd 0.875 0.375 0.500  0.00
Pd 0.875 0.375 0.000  0.00
Pd 0.375 0.875 0.500  0.00
Pd 0.375 0.875 0.000  0.00
Pd 0.630 0.120 0.248  0.00
Pd 0.630 0.120 0.752  0.00
Pd 0.120 0.630 0.248  0.00
Pd 0.120 0.630 0.752  0.00
Pd 0.630 0.630 0.248  0.00
Pd 0.630 0.630 0.752  0.00
Pd 0.120 0.120 0.248  0.00
Pd 0.120 0.120 0.752  0.00

Summary:
Space-group type: No. 123

=====

| no. | DOS(E_F) (states/eV per cell) | ΔE_f (eV/atom) | V (Å³ per atom) |
| --- | --- | --- | --- |
| 1 | 2.5 | -0.613 | 21.8 |
| 2 | 2.8 | -0.640 | 21.8 |
| 3 | 16.6 | -0.389 | 16.5 |